Density functional theory data (GGA-PBEsol) for Sc3TaF after structural relaxation.

abc: 5.103 5.103 5.103
angles: 90.00 90.00 90.00
Fractional positions:
Sc: 0.000 0.000 0.500
Sc: 0.000 0.500 0.000
Sc: 0.500 0.000 0.000
Ta: 0.000 0.000 0.000
F: 0.500 0.500 0.500

Values from the calculation:
Crystal system: cubic
Uncorrected formation energy: 515 meV per atom
Density of states at the Fermi level: 3.85 states/eV/f.u.

Density functional theory data (GGA-PBEsol) for Re3BAu after structural relaxation.

abc: 4.100 4.100 4.100
angles: 90.00 90.00 90.00
Fractional positions:
Re: 0.000 0.000 0.500
Re: 0.000 0.500 0.000
Re: 0.500 0.000 0.000
B: 0.000 0.000 0.000
Au: 0.500 0.500 0.500

Values from the calculation:
Crystal system: cubic
Formation energy: 463 meV/atom
Density of states at the Fermi level: 5.49 states/eV/f.u.

Density functional theory data (GGA-PBEsol) for YFe2Pb after structural relaxation.

abc: 3.373 4.368 5.418
angles: 90.00 90.56 90.00
Fractional positions:
Y: 0.000 0.000 0.000
Fe: 0.463 0.500 0.793
Fe: 0.537 0.500 0.207
Pb: 0.500 0.000 0.500

Values from the calculation:
Crystal system: monoclinic
Formation energy: 356 meV/atom
Density of states at the Fermi level: 4.58 states/eV/f.u.

Density functional theory data (GGA-PBEsol) for Sc2AsN after structural relaxation.

abc: 6.193 6.193 7.100
angles: 90.00 90.00 90.00
Fractional positions:
Sc: 0.172 0.250 0.125
Sc: 0.250 0.672 0.375
Sc: 0.250 0.828 0.875
Sc: 0.328 0.250 0.625
Sc: 0.672 0.750 0.625
Sc: 0.750 0.172 0.875
Sc: 0.750 0.328 0.375
Sc: 0.828 0.750 0.125
As: 0.000 0.000 0.500
As: 0.000 0.500 0.750
As: 0.500 0.000 0.250
As: 0.500 0.500 0.000
N: 0.000 0.000 0.000
N: 0.000 0.500 0.250
N: 0.500 0.000 0.750
N: 0.500 0.500 0.500

Values from the calculation:
Offset from the most stable computed form: 0 meV/atom
Crystal system: tetragonal
Uncorrected formation energy: -1401 meV per atom

Density functional theory data (GGA-PBEsol) for MgZn2Hg after structural relaxation.

abc: 4.112 4.112 8.245
angles: 90.00 90.00 90.00
Fractional positions:
Mg: 0.000 0.000 0.000
Mg: 0.500 0.500 0.500
Zn: 0.000 0.000 0.500
Zn: 0.000 0.500 0.250
Zn: 0.500 0.000 0.750
Zn: 0.500 0.500 0.000
Hg: 0.000 0.500 0.750
Hg: 0.500 0.000 0.250

Values from the calculation:
Offset from the most stable computed form: 6 meV/atom
Crystal system: tetragonal
Formation energy: -56 meV/atom
Density of states at the Fermi level: 1.19 states/eV/f.u.

Density functional theory data (GGA-PBEsol) for KBeZn after structural relaxation.

abc: 4.012 4.012 5.320
angles: 90.00 90.00 120.00
Fractional positions:
K: 0.000 0.000 0.000
Be: 0.333 0.667 0.500
Zn: 0.667 0.333 0.500

Values from the calculation:
Offset from the most stable computed form: 0 meV/atom
Crystal system: hexagonal
Formation energy: 561 meV/atom
Density of states at the Fermi level: 1.44 states/eV/f.u.

So what do the calculations give for M_tot? Going down the list: 0.00; 0.00; 1.07; 0.00; 0.00; 0.00 μB/atom.